Dy3Er2Hg3 | PBE-GGA | optimized geometry

For the total energy, the calculation gives -53.42 eV per cell. Its formation energy is -0.36 eV/atom.

Cell: 3.716 5.292 21.969 Å, 90.00 90.00 90.00°
Space group Immm (No. 71)
Inequivalent atoms, fractional coordinates:
Dy  0.000  0.000  0.000 (multiplicity 2)
Dy  0.000  0.500  0.122 (multiplicity 4)
Er  0.000  0.000  0.232 (multiplicity 4)
Hg  0.000  0.000  0.500 (multiplicity 2)
Hg  0.000  0.500  0.381 (multiplicity 4)